A plane-wave DFT calculation with GGA-PBE was carried out for a geometry-optimized AlHgO2 structure.

Geometry as extended XYZ:
```
8
Lattice="5.2307 0.0000 0.0000 0.0000 5.2307 0.0000 2.6154 2.6154 4.2266" Properties=species:S:1:pos:R:3 pbc="T T T"
Hg 0.0000 0.0000 0.0000
Hg 5.2307 2.6154 2.1133
O 6.5384 5.8265 3.1700
Al 2.6154 5.2307 2.1133
Al 2.6154 2.6154 0.0000
O 3.9230 4.6350 3.1700
O 3.2111 1.3077 1.0567
O 2.0196 3.9230 1.0567
```

V = 115.6 Å³ per cell
magnetization = 0.000 μB/f.u.
crystal system = tetragonal
ρ = 7.5 g/cm³
energy above the most stable polymorph in this dataset = 0.043 eV/atom
E_form (uncorrected) = -1.7684 eV/atom

A plane-wave DFT calculation with GGA-PBE was carried out for a geometry-optimized Pu2Zn5Ga structure.

Geometry as extended XYZ:
```
16
Lattice="-0.0555 -0.8330 4.3419 2.0118 -7.0825 -3.5843 8.6251 2.1822 0.5290" Properties=species:S:1:pos:R:3 pbc="T T T"
Zn 8.4385 -0.8643 -0.0579
Zn 9.8281 -3.0959 -0.4683
Ga 8.2313 -5.0253 -0.8589
Pu 4.3125 1.0911 0.2645
Zn 3.7381 -5.4334 -0.9946
Zn 0.7532 -2.6374 1.7548
Zn 5.9866 -1.4846 -0.2083
Zn 4.7032 -1.6380 1.9971
Pu 7.6440 -3.3270 1.7107
Pu 2.9372 -2.4064 -0.4241
Pu 0.0000 0.0000 0.0000
Zn 2.1428 -4.8690 1.3445
Zn 4.5947 -4.2487 1.4948
Ga 2.3500 -0.7080 2.1454
Zn 5.8781 -4.0953 -0.7105
Zn 6.8432 -0.2999 2.2812
```

formation energy from the elements = -0.155 eV/atom
V = 310.7 Å³ per cell
magnetization = 11.445 μB/f.u.
crystal system = orthorhombic
ρ = 9.5 g/cm³

A plane-wave DFT calculation with GGA-PBE was carried out for a geometry-optimized TaFe2Co structure.

Geometry as extended XYZ:
```
4
Lattice="-2.7208 -0.1494 1.2034 -0.9377 -1.6150 -2.3207 1.5167 -4.9290 2.8173" Properties=species:S:1:pos:R:3 pbc="T T T"
Co -0.6641 -4.6689 1.6057
Ta 0.7540 -2.4502 1.4005
Fe 0.0032 -0.0105 0.0060
Fe -1.4766 -2.0283 0.0964
```

formation energy from the elements = -0.067 eV/atom
V = 52.1 Å³ per cell
magnetization = 5.545 μB/f.u.
crystal system = tetragonal
ρ = 11.2 g/cm³

A plane-wave DFT calculation with GGA-PBE was carried out for a geometry-optimized NdIn3Sn2 structure.

Geometry as extended XYZ:
```
6
Lattice="4.3178 0.0000 0.0000 0.0000 4.7525 -1.6069 0.0000 0.0242 7.9029" Properties=species:S:1:pos:R:3 pbc="T T T"
In 2.1589 3.9317 3.7968
In 2.1589 0.8450 2.4992
Nd 0.0000 0.0000 0.0000
Sn 0.0000 3.1479 1.4789
Sn 0.0000 1.6287 4.8171
In 2.1589 2.3762 -0.8034
```

formation energy from the elements = -0.223 eV/atom
V = 162.3 Å³ per cell
magnetization = 0.000 μB/f.u.
crystal system = orthorhombic
ρ = 7.4 g/cm³

A plane-wave DFT calculation with GGA-PBE was carried out for a geometry-optimized YIn2Ir structure.

Geometry as extended XYZ:
```
4
Lattice="0.9667 3.2369 3.5190 -3.6531 2.0435 2.5048 -0.7183 -1.1925 4.6751" Properties=species:S:1:pos:R:3 pbc="T T T"
Ir -1.7024 2.0440 5.3494
In -2.5536 3.0660 8.0241
Y 0.0000 0.0000 0.0000
In -0.8512 1.0220 2.6747
```

formation energy from the elements = -0.314 eV/atom
V = 82.1 Å³ per cell
magnetization = 0.000 μB/f.u.
crystal system = cubic
ρ = 10.3 g/cm³

A plane-wave DFT calculation with GGA-PBE was carried out for a geometry-optimized LiAc2HfTe5 structure.

Geometry as extended XYZ:
```
18
Lattice="4.5253 0.0000 0.0000 -2.2626 9.6355 0.0000 0.0000 0.0000 13.0123" Properties=species:S:1:pos:R:3 pbc="T T T"
Te 2.2626 3.7856 11.2093
Te 0.0000 9.5895 10.0886
Te 0.0000 5.5467 8.5957
Te 2.2626 8.6815 7.1854
Te 2.2626 0.0460 3.5824
Te 0.0000 6.7030 0.0689
Te 0.0000 0.9540 0.6792
Ac 0.0000 2.1901 9.0690
Hf 0.0000 3.6816 0.2013
Te 0.0000 5.8499 4.7032
Hf 2.2626 5.9538 6.7075
Te 2.2626 2.9325 6.5751
Ac 2.2626 7.1744 10.4859
Li 0.0000 8.3298 5.8669
Te 2.2626 4.0888 2.0895
Ac 2.2626 7.4454 2.5629
Ac 0.0000 2.4611 3.9797
Li 2.2626 1.3057 12.3731
```

V = 567.4 Å³ per cell
magnetization = 0.000 μB/f.u.
crystal system = orthorhombic
ρ = 7.5 g/cm³
E_form (uncorrected) = -1.2287 eV/atom

A plane-wave DFT calculation with GGA-PBE was carried out for a geometry-optimized Na8AgAu2 structure.

Geometry as extended XYZ:
```
11
Lattice="4.9835 0.0000 0.0000 0.0000 7.4218 -0.0749 -2.4918 -3.2691 8.1011" Properties=species:S:1:pos:R:3 pbc="T T T"
Na 2.4918 5.8809 2.6703
Na 2.4918 3.2955 4.9015
Au 2.4918 0.2633 5.1536
Na 0.0000 0.8571 3.1247
Na 0.0000 1.4574 6.4248
Au 0.0000 3.8893 2.8726
Na 2.4918 2.6953 1.6014
Na 0.0000 5.5642 0.3549
Ag 2.4918 0.0000 0.0000
Na 0.0000 -1.7283 5.3559
Na 2.4918 -1.4116 7.6713
```

formation energy from the elements = -0.148 eV/atom
V = 298.4 Å³ per cell
magnetization = 0.000 μB/f.u.
crystal system = monoclinic
ρ = 3.8 g/cm³
energy above the most stable polymorph in this dataset = 0.000 eV/atom

A plane-wave DFT calculation with GGA-PBE was carried out for a geometry-optimized ThZnFe2H8 structure.

Geometry as extended XYZ:
```
12
Lattice="-3.0980 -1.4820 2.9514 2.2178 -2.9479 -2.6260 4.6243 -0.5838 4.5608" Properties=species:S:1:pos:R:3 pbc="T T T"
Zn 0.0000 0.0000 0.0000
H -0.1008 -3.5013 1.6099
Fe -0.5003 -2.0749 1.9067
H 3.3408 -4.0490 3.4627
H 0.4033 -0.9647 1.4235
Th 2.3121 -0.2919 2.2804
H 5.1147 -3.2004 1.7727
H 3.8448 -1.5124 3.2763
H -1.3707 -1.8133 3.1135
Fe 4.2443 -2.9388 2.9795
H 3.1093 -2.7955 1.8600
H 0.6347 -2.2182 3.0262
```

V = 115.8 Å³ per cell
calculated total energy = -4.22 eV/atom
magnetization = 1.530 μB/f.u.
crystal system = trigonal
ρ = 6.0 g/cm³

A plane-wave DFT calculation with GGA-PBE was carried out for a geometry-optimized Pr2Y8Er3 structure.

Geometry as extended XYZ:
```
26
Lattice="-2.1192 -0.9734 2.6488 -4.2760 -8.7230 -6.6265 14.7919 -12.6980 7.1705" Properties=species:S:1:pos:R:3 pbc="T T T"
Y -0.4625 -3.2171 -1.5522
Er 4.5941 -17.3356 2.0087
Y -2.3329 -6.1604 -1.7791
Y -0.5485 -11.7172 -2.3929
Y 2.6714 -9.1782 -1.2347
Y 1.1074 -13.5543 0.6081
Pr 4.9123 -14.0198 1.1306
Y 0.5166 -6.4347 0.4003
Pr 3.4844 -8.3746 2.0622
Er 10.2987 -13.2434 3.3749
Y 7.2893 -8.8401 2.5846
Y -0.0074 -3.4743 3.4196
Pr 11.4936 -13.4727 6.5978
Y 10.7296 -16.2340 4.9718
Y 8.9451 -10.6772 5.5857
Er 3.8026 -5.0588 1.1841
Y 7.8800 -15.9597 2.7925
Y 8.8592 -19.1772 4.7449
Pr -3.0969 -8.9217 -3.4050
Y 5.0784 -6.3257 4.0904
Y 8.4041 -18.9201 -0.2269
Er -1.9020 -9.1510 -0.1821
Y 3.3183 -16.0686 -0.8977
Er 5.2580 -10.7105 0.2720
Er 0.0000 0.0000 0.0000
Y 5.7253 -13.2162 4.4274
```

formation energy from the elements = 0.149 eV/atom
V = 862.0 Å³ per cell
magnetization = 0.001 μB/f.u.
crystal system = orthorhombic
ρ = 5.8 g/cm³
energy above the most stable polymorph in this dataset = 0.000 eV/atom

A plane-wave DFT calculation with GGA-PBE was carried out for a geometry-optimized Cs3Ca2I7 structure.

Geometry as extended XYZ:
```
12
Lattice="-4.4211 -3.6351 2.2138 4.2735 -3.2354 3.2218 -3.9900 11.2752 10.5458" Properties=species:S:1:pos:R:3 pbc="T T T"
Ca -0.3768 1.9634 2.4716
Ca 0.6602 6.0763 11.2961
I -1.5652 4.3360 12.5003
I 0.0000 0.0000 0.0000
I -0.7409 3.8607 4.8599
I -2.5725 0.0686 3.4812
Cs -0.7492 0.0839 7.1477
I -1.4957 7.7943 9.8114
Cs -0.0738 -3.4353 2.7178
I 1.0243 4.1790 8.9078
Cs -3.3885 4.3207 8.8337
I 1.7792 0.2455 3.9563
```

V = 600.1 Å³ per cell
magnetization = 0.000 μB/f.u.
crystal system = orthorhombic
ρ = 3.8 g/cm³
energy above the most stable polymorph in this dataset = 0.021 eV/atom
E_form (uncorrected) = -1.5689 eV/atom

> Number 6 is which compound?

LiAc2HfTe5

Repeat the fourth record exactly.
A plane-wave DFT calculation with GGA-PBE was carried out for a geometry-optimized NdIn3Sn2 structure.

Geometry as extended XYZ:
```
6
Lattice="4.3178 0.0000 0.0000 0.0000 4.7525 -1.6069 0.0000 0.0242 7.9029" Properties=species:S:1:pos:R:3 pbc="T T T"
In 2.1589 3.9317 3.7968
In 2.1589 0.8450 2.4992
Nd 0.0000 0.0000 0.0000
Sn 0.0000 3.1479 1.4789
Sn 0.0000 1.6287 4.8171
In 2.1589 2.3762 -0.8034
```

formation energy from the elements = -0.223 eV/atom
V = 162.3 Å³ per cell
magnetization = 0.000 μB/f.u.
crystal system = orthorhombic
ρ = 7.4 g/cm³

Repeat the fourth record exactly.
A plane-wave DFT calculation with GGA-PBE was carried out for a geometry-optimized NdIn3Sn2 structure.

Geometry as extended XYZ:
```
6
Lattice="4.3178 0.0000 0.0000 0.0000 4.7525 -1.6069 0.0000 0.0242 7.9029" Properties=species:S:1:pos:R:3 pbc="T T T"
In 2.1589 3.9317 3.7968
In 2.1589 0.8450 2.4992
Nd 0.0000 0.0000 0.0000
Sn 0.0000 3.1479 1.4789
Sn 0.0000 1.6287 4.8171
In 2.1589 2.3762 -0.8034
```

formation energy from the elements = -0.223 eV/atom
V = 162.3 Å³ per cell
magnetization = 0.000 μB/f.u.
crystal system = orthorhombic
ρ = 7.4 g/cm³